<P>
A relaxed structure of SrLa2TlIr, computed with PBE.

Output
Symmetry   P4/mmm (123)

Lattice parameters (Å, degrees): 5.621 5.621 5.490 90.00 90.00 90.00
Element x y z (fractional)
1 Sr 0.500 0.500 0.500
2 Tl 0.000 0.000 0.500
3 La 0.000 0.500 0.000
4 La 0.500 0.000 0.000
5 Ir 0.000 0.000 0.000

<Q>
A relaxed structure of SrLa2TlIr, computed with PBE.

Output
Symmetry   P4/mmm (123)

Lattice parameters (Å, degrees): 5.543 5.543 5.928 90.00 90.00 90.00
Element x y z (fractional)
1 La 0.000 0.500 0.000
2 Ir 0.000 0.000 0.000
3 La 0.500 0.000 0.000
4 Sr 0.000 0.000 0.500
5 Tl 0.500 0.500 0.500

Out of the structures above, which one is the least stable? Solution: <P>.